# 1
Computed, not measured: a crystal of Ti2AlB relaxed with PBEsol at the meta-GGA SCAN level of DFT.

Symmetry: Fm-3m
Magnetization in μB per formula unit: 0.0

Unit cell a=4.203 b=4.203 c=4.203 alpha=60.00 beta=60.00 gamma=60.00
Fractional positions:
Ti  0.250  0.250  0.250
Ti  0.750  0.750  0.750
B  0.000  0.000  0.000
Al  0.500  0.500  0.500


# 2
Computed, not measured: a crystal of AlBW relaxed with PBEsol at the meta-GGA SCAN level of DFT.

Symmetry: Cmcm
Magnetization in μB per formula unit: 0.0

Unit cell a=3.099 b=3.195 c=7.148 alpha=77.08 beta=90.00 gamma=90.00
Fractional positions:
Al  0.750  0.300  0.399
B  0.750  0.466  0.069
B  0.250  0.534  0.931
Al  0.250  0.700  0.601
W  0.750  0.090  0.820
W  0.250  0.910  0.180


# 3
Computed, not measured: a crystal of AlZnB3 relaxed with PBEsol at the meta-GGA SCAN level of DFT.

Symmetry: Pm-3m
Magnetization in μB per formula unit: 0.0

Unit cell a=4.000 b=4.000 c=4.000 alpha=90.00 beta=90.00 gamma=90.00
Fractional positions:
Zn  0.000  0.000  0.000
B  0.000  0.500  0.000
Al  0.500  0.500  0.500
B  0.000  0.000  0.500
B  0.500  0.000  0.000


# 4
Computed, not measured: a crystal of Ba4Al5 relaxed with PBEsol at the meta-GGA SCAN level of DFT.

Symmetry: P6_3/mmc
Magnetization in μB per formula unit: 0.4

Unit cell a=6.022 b=6.022 c=17.685 alpha=90.00 beta=90.00 gamma=120.00
Fractional positions:
Ba  0.667  0.333  0.429
Ba  0.333  0.667  0.929
Al  0.333  0.667  0.135
Al  0.508  0.017  0.250
Ba  0.000  0.000  0.642
Ba  0.667  0.333  0.071
Al  0.508  0.492  0.250
Al  0.667  0.333  0.635
Ba  0.000  0.000  0.858
Al  0.492  0.508  0.750
Al  0.492  0.983  0.750
Ba  0.000  0.000  0.358
Al  0.667  0.333  0.865
Ba  0.000  0.000  0.142
Al  0.983  0.492  0.250
Al  0.017  0.508  0.750
Ba  0.333  0.667  0.571
Al  0.333  0.667  0.365


# 5
Computed, not measured: a crystal of BaAl relaxed with PBEsol at the meta-GGA SCAN level of DFT.

Symmetry: R-3m
Magnetization in μB per formula unit: 0.0

Unit cell a=4.531 b=4.531 c=9.443 alpha=76.10 beta=76.10 gamma=60.01
Fractional positions:
Al  0.333  0.333  0.000
Ba  0.089  0.089  0.734
Al  0.667  0.667  0.000
Ba  0.911  0.911  0.266


# 6
Computed, not measured: a crystal of Ba3Al relaxed with PBEsol at the meta-GGA SCAN level of DFT.

Symmetry: P4/mmm
Magnetization in μB per formula unit: 0.5

Unit cell a=4.178 b=4.178 c=10.457 alpha=90.00 beta=90.00 gamma=90.00
Site moments in Bohr magnetons follow the coordinates.
Fractional positions:
Al  0.000  0.000  0.000  0.02
Ba  0.000  0.000  0.500  -0.10
Ba  0.500  0.500  0.822  -0.02
Ba  0.500  0.500  0.178  -0.02


# 7
Computed, not measured: a crystal of Ba7Al13 relaxed with PBEsol at the meta-GGA SCAN level of DFT.

Symmetry: P-3m1
Magnetization in μB per formula unit: 0.0

Unit cell a=5.981 b=5.981 c=17.027 alpha=90.00 beta=90.00 gamma=120.00
Fractional positions:
Ba  0.333  0.667  0.892
Al  0.323  0.161  0.784
Al  0.161  0.839  0.216
Al  0.333  0.667  0.096
Al  0.500  0.000  0.500
Al  0.839  0.161  0.784
Al  0.667  0.333  0.650
Al  0.333  0.667  0.350
Al  0.161  0.323  0.216
Al  0.667  0.333  0.904
Ba  0.333  0.667  0.678
Ba  0.000  0.000  0.000
Al  0.000  0.500  0.500
Ba  0.667  0.333  0.322
Al  0.677  0.839  0.216
Ba  0.000  0.000  0.394
Ba  0.000  0.000  0.606
Ba  0.667  0.333  0.108
Al  0.500  0.500  0.500
Al  0.839  0.677  0.784


# 8
Computed, not measured: a crystal of BaAl5 relaxed with PBEsol at the meta-GGA SCAN level of DFT.

Symmetry: P6/mmm
Magnetization in μB per formula unit: 0.0

Unit cell a=4.386 b=5.810 c=5.810 alpha=120.00 beta=90.00 gamma=90.00
Fractional positions:
Ba  0.000  0.000  0.000
Al  0.000  0.333  0.667
Al  0.000  0.667  0.333
Al  0.500  0.500  0.500
Al  0.500  0.500  0.000
Al  0.500  0.000  0.500


# 9
Computed, not measured: a crystal of Ba4Al5 relaxed with PBEsol at the meta-GGA SCAN level of DFT.

Symmetry: I4/mmm
Magnetization in μB per formula unit: 0.0

Unit cell a=4.306 b=8.956 c=8.956 alpha=86.69 beta=76.09 gamma=76.09
Fractional positions:
Ba  0.000  0.288  0.712
Al  0.610  0.000  0.780
Al  0.390  0.000  0.220
Al  0.610  0.780  0.000
Ba  0.712  0.288  0.288
Ba  0.288  0.712  0.712
Al  0.000  0.000  0.000
Ba  0.000  0.712  0.288
Al  0.390  0.220  0.000


# 10
Computed, not measured: a crystal of Ba3Al relaxed with PBEsol at the meta-GGA SCAN level of DFT.

Symmetry: Pnma
Magnetization in μB per formula unit: 0.0

Unit cell a=7.855 b=8.088 c=11.159 alpha=90.00 beta=90.00 gamma=90.00
Fractional positions:
Al  0.023  0.572  0.250
Ba  0.400  0.507  0.750
Ba  0.799  0.699  0.550
Ba  0.701  0.199  0.550
Ba  0.701  0.199  0.950
Ba  0.900  0.993  0.250
Ba  0.100  0.007  0.750
Ba  0.799  0.699  0.950
Al  0.977  0.428  0.750
Ba  0.201  0.301  0.050
Ba  0.299  0.801  0.050
Al  0.477  0.072  0.250
Al  0.523  0.928  0.750
Ba  0.201  0.301  0.450
Ba  0.600  0.493  0.250
Ba  0.299  0.801  0.450


# 11
Computed, not measured: a crystal of BaAl relaxed with PBEsol at the meta-GGA SCAN level of DFT.

Symmetry: R-3m
Magnetization in μB per formula unit: 0.0

Unit cell a=3.944 b=3.944 c=5.766 alpha=70.00 beta=70.00 gamma=60.00
Fractional positions:
Ba  0.500  0.500  0.500
Al  0.000  0.000  0.000


# 12
Computed, not measured: a crystal of Ba3Al relaxed with PBEsol at the meta-GGA SCAN level of DFT.

Symmetry: P2/m
Magnetization in μB per formula unit: 0.0

Unit cell a=4.317 b=5.522 c=7.537 alpha=90.00 beta=105.29 gamma=90.00
Fractional positions:
Ba  0.600  0.500  0.786
Ba  0.000  0.000  0.500
Al  0.000  0.000  0.000
Ba  0.400  0.500  0.214


Formation energy from the elements for every record listed, in sequence, given in meV per atom: 124; -280; 1861; -263; -234; -34; -232; -118; -21; -25; 280; 105.